Below is crystalline Ac3Ga2SiPd9 at its relaxed geometry, with properties calculated at the PBE level.

a b c (Å): 6.657 6.657 8.556
angles (deg): 90.00 90.00 120.00
Element x y z (fractional)
Ac 0.000 0.000 0.000
Ac 0.333 0.667 0.669
Ac 0.667 0.333 0.331
Ga 0.333 0.667 0.187
Ga 0.667 0.333 0.813
Si 0.000 0.000 0.500
Pd 0.000 0.500 0.000
Pd 0.142 0.284 0.300
Pd 0.142 0.858 0.300
Pd 0.284 0.142 0.700
Pd 0.500 0.000 0.000
Pd 0.500 0.500 0.000
Pd 0.716 0.858 0.300
Pd 0.858 0.142 0.700
Pd 0.858 0.716 0.700

N(E_F) in states/eV/cell: 8.31
Size of the total moment in μB per cell: 0.000
E in eV/atom: -5.3563
Uncorrected formation energy in eV per atom: -0.6538

***

Below is crystalline Ac2Ga4SiPd3 at its relaxed geometry, with properties calculated at the PBE level.

a b c (Å): 4.485 4.485 10.343
angles (deg): 90.00 90.00 90.00
Element x y z (fractional)
Ac 0.000 0.500 0.248
Ac 0.500 0.000 0.752
Ga 0.000 0.000 0.500
Ga 0.000 0.500 0.870
Ga 0.500 0.000 0.130
Ga 0.500 0.500 0.500
Si 0.500 0.500 0.000
Pd 0.000 0.000 0.000
Pd 0.000 0.500 0.626
Pd 0.500 0.000 0.374

N(E_F) in states/eV/cell: 6.95
Size of the total moment in μB per cell: 0.000
E in eV/atom: -4.8519
Uncorrected formation energy in eV per atom: -0.7193

***

Below is crystalline Ac2GaSi4Pd3 at its relaxed geometry, with properties calculated at the PBE level.

a b c (Å): 4.371 4.371 10.273
angles (deg): 90.00 90.00 90.00
Element x y z (fractional)
Ac 0.000 0.500 0.247
Ac 0.500 0.000 0.753
Ga 0.000 0.000 0.500
Si 0.000 0.000 0.000
Si 0.000 0.500 0.636
Si 0.500 0.000 0.364
Si 0.500 0.500 0.000
Pd 0.000 0.500 0.882
Pd 0.500 0.000 0.118
Pd 0.500 0.500 0.500

N(E_F) in states/eV/cell: 3.80
Size of the total moment in μB per cell: 0.000
E in eV/atom: -5.6241
Uncorrected formation energy in eV per atom: -0.7727

***

Below is crystalline AcGaSiPd6 at its relaxed geometry, with properties calculated at the PBE level.

a b c (Å): 8.096 8.096 8.096
angles (deg): 129.78 111.78 89.38
Element x y z (fractional)
Ac 0.413 0.163 0.250
Ac 0.587 0.837 0.750
Ga 0.000 0.000 0.500
Ga 0.000 0.500 0.000
Si 0.000 0.500 0.500
Si 0.500 0.500 0.000
Pd 0.113 0.373 0.230
Pd 0.113 0.883 0.741
Pd 0.155 0.905 0.250
Pd 0.318 0.568 0.750
Pd 0.357 0.117 0.730
Pd 0.357 0.627 0.241
Pd 0.643 0.373 0.759
Pd 0.643 0.883 0.270
Pd 0.682 0.432 0.250
Pd 0.845 0.095 0.750
Pd 0.887 0.117 0.259
Pd 0.887 0.627 0.770

N(E_F) in states/eV/cell: 5.97
Size of the total moment in μB per cell: 0.000
E in eV/atom: -5.3028
Uncorrected formation energy in eV per atom: -0.4455

***

Below is crystalline AcGaSiPd3 at its relaxed geometry, with properties calculated at the PBE level.

a b c (Å): 6.963 6.963 6.101
angles (deg): 90.00 90.00 123.66
Element x y z (fractional)
Ac 0.221 0.779 0.750
Ac 0.779 0.221 0.250
Ga 0.121 0.879 0.250
Ga 0.879 0.121 0.750
Si 0.481 0.519 0.750
Si 0.519 0.481 0.250
Pd 0.220 0.220 0.000
Pd 0.220 0.220 0.500
Pd 0.326 0.674 0.250
Pd 0.674 0.326 0.750
Pd 0.780 0.780 0.000
Pd 0.780 0.780 0.500

N(E_F) in states/eV/cell: 6.24
Size of the total moment in μB per cell: 0.000
E in eV/atom: -5.3786
Uncorrected formation energy in eV per atom: -0.6891

***

Below is crystalline AcSmGa2Pd5 at its relaxed geometry, with properties calculated at the PBE level.

a b c (Å): 4.372 4.372 9.278
angles (deg): 90.00 90.00 90.00
Element x y z (fractional)
Ac 0.000 0.000 0.000
Sm 0.000 0.000 0.500
Ga 0.500 0.500 0.364
Ga 0.500 0.500 0.636
Pd 0.000 0.500 0.234
Pd 0.000 0.500 0.766
Pd 0.500 0.000 0.234
Pd 0.500 0.000 0.766
Pd 0.500 0.500 0.000

Calculated formation energy in eV/f.u.: -6.9
N(E_F) in states/eV/cell: 6.44
Size of the total moment in μB per cell: 0.000
E in eV/atom: -5.3004

***

no.,calculated volume (Å³/cell)
1,328
2,208
3,196
4,359
5,246
6,177